[1]
Below is an optimized crystal structure of Ag3Sn12H5, with properties calculated at the PBE-GGA level.

Cell: 12.9632 12.9632 12.9632 Å, 109.47 109.47 109.47°
Element x y z (fractional)
1 Ag 0.7500 0.3750 0.1250
2 Ag 0.8750 0.7500 0.1250
3 Ag 0.3750 0.7500 0.6250
4 Ag 0.2500 0.1250 0.3750
5 Ag 0.8750 0.1250 0.2500
6 Ag 0.3750 0.6250 0.2500
7 Ag 0.6250 0.3750 0.7500
8 Ag 0.1250 0.8750 0.7500
9 Ag 0.7500 0.8750 0.6250
10 Ag 0.6250 0.2500 0.3750
11 Ag 0.1250 0.2500 0.8750
12 Ag 0.2500 0.6250 0.8750
13 H 0.1250 0.3750 0.2500
14 H 0.0000 0.5000 0.0000
15 H 0.0000 0.0000 0.0000
16 H 0.3750 0.2500 0.1250
17 H 0.5000 0.0000 0.5000
18 H 0.5000 0.5000 0.0000
19 H 0.1250 0.7500 0.3750
20 H 0.7500 0.1250 0.8750
21 H 0.7500 0.6250 0.3750
22 H 0.3750 0.1250 0.7500
23 H 0.6250 0.8750 0.2500
24 H 0.5000 0.5000 0.5000
25 H 0.5000 0.0000 0.0000
26 H 0.0000 0.0000 0.5000
27 H 0.2500 0.3750 0.6250
28 H 0.2500 0.8750 0.1250
29 H 0.0000 0.5000 0.5000
30 H 0.8750 0.2500 0.6250
31 H 0.6250 0.7500 0.8750
32 H 0.8750 0.6250 0.7500
33 Sn 0.7029 0.1069 0.0202
34 Sn 0.3173 0.5202 0.4133
35 Sn 0.9798 0.3931 0.2971
36 Sn 0.5202 0.2029 0.1069
37 Sn 0.5960 0.7029 0.6827
38 Sn 0.9798 0.5867 0.1827
39 Sn 0.3173 0.7971 0.4040
40 Sn 0.0867 0.9040 0.1069
41 Sn 0.5867 0.9798 0.6827
42 Sn 0.7029 0.5960 0.1827
43 Sn 0.7971 0.4798 0.3931
44 Sn 0.8173 0.9133 0.0202
45 Sn 0.1069 0.7029 0.5202
46 Sn 0.3931 0.4133 0.0960
47 Sn 0.0960 0.9133 0.3931
48 Sn 0.4040 0.1069 0.5867
49 Sn 0.0960 0.1827 0.2029
50 Sn 0.4798 0.6827 0.0867
51 Sn 0.8173 0.9040 0.2971
52 Sn 0.1069 0.4040 0.0867
53 Sn 0.3931 0.9798 0.7971
54 Sn 0.5867 0.6069 0.4040
55 Sn 0.9133 0.8173 0.5202
56 Sn 0.7971 0.3173 0.9040
57 Sn 0.4133 0.3931 0.5960
58 Sn 0.0867 0.1827 0.4798
59 Sn 0.2029 0.6827 0.0960
60 Sn 0.1827 0.0960 0.7029
61 Sn 0.6069 0.0202 0.2029
62 Sn 0.8931 0.5960 0.9133
63 Sn 0.5202 0.3173 0.9133
64 Sn 0.5960 0.8931 0.4133
65 Sn 0.9040 0.8173 0.7971
66 Sn 0.9040 0.0867 0.6069
67 Sn 0.8931 0.2971 0.4798
68 Sn 0.1827 0.0867 0.9798
69 Sn 0.6069 0.5867 0.9040
70 Sn 0.4133 0.0202 0.3173
71 Sn 0.2971 0.4040 0.8173
72 Sn 0.2029 0.5202 0.6069
73 Sn 0.9133 0.0960 0.8931
74 Sn 0.6827 0.2029 0.5960
75 Sn 0.4798 0.7971 0.8931
76 Sn 0.0202 0.4133 0.8173
77 Sn 0.4040 0.2971 0.3173
78 Sn 0.0202 0.6069 0.7029
79 Sn 0.6827 0.4798 0.5867
80 Sn 0.2971 0.8931 0.9798

Results
Its total moment is 0.00 μB/f.u. The uncorrected energy comes out at -3.37 eV per atom. As for the crystal system: cubic.

=====

[2]
Below is an optimized crystal structure of Ga2Si2Ru3, with properties calculated at the PBE-GGA level.

Cell: 4.1466 4.1464 7.2397 Å, 90.00 106.48 120.00°
Element x y z (fractional)
1 Ga 0.2611 0.1306 0.3927
2 Ga 0.7389 0.8694 0.6073
3 Si 0.7612 0.3806 0.1416
4 Si 0.2388 0.6194 0.8584
5 Ru 0.0000 0.0000 0.0000
6 Ru 0.5151 0.2576 0.7720
7 Ru 0.4849 0.7424 0.2280

Results
Its total moment is 0.00 μB/f.u. The uncorrected energy comes out at -6.79 eV per atom. As for the crystal system: monoclinic.

=====

[3]
Below is an optimized crystal structure of LiTbP4O12, with properties calculated at the PBE-GGA level.

Cell: 8.9763 8.9763 9.7308 Å, 57.27 57.27 46.82°
Element x y z (fractional)
1 Li 0.2937 0.7063 0.2500
2 Li 0.7063 0.2937 0.7500
3 Tb 0.7937 0.2063 0.2500
4 Tb 0.2063 0.7937 0.7500
5 P 0.4139 0.3118 0.1160
6 P 0.0040 0.7048 0.1941
7 P 0.2952 0.9960 0.3059
8 P 0.9960 0.2952 0.8059
9 P 0.7048 0.0040 0.6941
10 P 0.5861 0.6882 0.8840
11 P 0.6882 0.5861 0.3840
12 P 0.3118 0.4139 0.6160
13 O 0.1764 0.5992 0.6845
14 O 0.4373 0.4290 0.9290
15 O 0.5710 0.5627 0.5710
16 O 0.5627 0.5710 0.0710
17 O 0.4290 0.4373 0.4290
18 O 0.8238 0.6672 0.3475
19 O 0.3328 0.1762 0.1525
20 O 0.1762 0.3328 0.6525
21 O 0.6672 0.8238 0.8475
22 O 0.2166 0.4718 0.2320
23 O 0.1548 0.9890 0.2730
24 O 0.4008 0.8236 0.8155
25 O 0.8236 0.4008 0.3155
26 O 0.5992 0.1764 0.1845
27 O 0.8452 0.0110 0.7270
28 O 0.9890 0.1548 0.7730
29 O 0.0110 0.8452 0.2270
30 O 0.7834 0.5282 0.7680
31 O 0.7607 0.9900 0.5241
32 O 0.0100 0.2393 0.9759
33 O 0.2393 0.0100 0.4759
34 O 0.9900 0.7607 0.0241
35 O 0.4718 0.2166 0.7320
36 O 0.5282 0.7834 0.2680

Results
Its total moment is 0.00 μB/f.u. The uncorrected energy comes out at -7.33 eV per atom. As for the crystal system: monoclinic.

=====

[4]
Below is an optimized crystal structure of CsCuPbF6, with properties calculated at the PBE-GGA level.

Cell: 8.1828 7.8222 7.6867 Å, 120.58 122.16 90.00°
Site moments in Bohr magnetons follow the coordinates.
Element x y z (fractional)
1 Cs 0.8406 0.5906 0.6813  0.00
2 Cs 0.1594 0.4094 0.3187  0.00
3 Cu 0.5000 0.5000 0.0000  0.87
4 Cu 0.5000 0.0000 0.0000  0.87
5 Pb 0.5000 0.0000 0.5000  -0.05
6 Pb 0.0000 0.0000 0.5000  -0.05
7 F 0.5253 0.7753 0.0507  0.12
8 F 0.8635 0.1135 0.7269  -0.06
9 F 0.7991 0.1390 0.2632  0.09
10 F 0.4641 0.6242 0.2632  0.09
11 F 0.4641 0.1390 0.2632  0.09
12 F 0.7991 0.6242 0.2632  0.09
13 F 0.4747 0.2247 0.9493  0.12
14 F 0.1365 0.8865 0.2731  -0.06
15 F 0.2009 0.8610 0.7368  0.09
16 F 0.5359 0.3758 0.7368  0.09
17 F 0.5359 0.8610 0.7368  0.09
18 F 0.2009 0.3758 0.7368  0.09

Results
Its total moment is 1.26 μB/f.u. The uncorrected energy comes out at -4.31 eV per atom. As for the crystal system: orthorhombic.

=====

[5]
Below is an optimized crystal structure of PmNdEuMg, with properties calculated at the PBE-GGA level.

Cell: 5.7005 5.7005 5.7005 Å, 60.00 60.00 60.00°
Site moments in Bohr magnetons follow the coordinates.
Element x y z (fractional)
1 Eu 0.5000 0.5000 0.5000  6.85
2 Mg 0.0000 0.0000 0.0000  -0.01
3 Nd 0.2500 0.2500 0.2500  0.03
4 Pm 0.7500 0.7500 0.7500  0.03

Results
Its total moment is 7.15 μB/f.u. The uncorrected energy comes out at -5.30 eV per atom. As for the crystal system: cubic.

=====

[6]
Below is an optimized crystal structure of ZrTiZn3, with properties calculated at the PBE-GGA level.

Cell: 4.6965 4.6965 4.6965 Å, 90.00 90.00 90.00°
Site moments in Bohr magnetons follow the coordinates.
Element x y z (fractional)
1 Zn 0.0000 0.5000 0.0000  0.11
2 Zn 0.0000 0.0000 0.5000  0.07
3 Zn 0.5000 0.0000 0.0000  0.16
4 Zr 0.5000 0.5000 0.5000  -0.04
5 Ti 0.0000 0.0000 0.0000  1.30

Results
Its total moment is 1.85 μB/f.u. As for the crystal system: cubic. As for the polymorph energy (0 for the lowest one): 665 meV per atom.

=====

[7]
Below is an optimized crystal structure of LaHgP2, with properties calculated at the PBE-GGA level.

Cell: 3.7686 3.7686 6.9614 Å, 90.00 90.00 108.62°
Element x y z (fractional)
1 Hg 0.5000 0.5000 0.2500
2 La 0.5000 0.5000 0.7500
3 P 0.0000 0.0000 0.0077
4 P 0.0000 0.0000 0.4923

Results
Its total moment is 0.00 μB/f.u. The uncorrected energy comes out at -4.28 eV per atom. As for the crystal system: orthorhombic.

=====

[8]
Below is an optimized crystal structure of Li2DyGaPd4, with properties calculated at the PBE-GGA level.

Cell: 4.4471 4.4471 7.9186 Å, 73.69 73.69 60.00°
Element x y z (fractional)
1 Li 0.7549 0.7549 0.7354
2 Li 0.2451 0.2451 0.2646
3 Dy 0.0000 0.0000 0.0000
4 Ga 0.5000 0.5000 0.5000
5 Pd 0.3878 0.3878 0.8367
6 Pd 0.8705 0.8705 0.3886
7 Pd 0.1295 0.1295 0.6114
8 Pd 0.6122 0.6122 0.1633

Results
Its total moment is 0.00 μB/f.u. The uncorrected energy comes out at -4.70 eV per atom. As for the crystal system: trigonal.